Density functional theory data (PBE-GGA) for a relaxed CoOs2Pt crystal.

a b c (Å): 5.3328 7.7475 2.6840
angles (deg): 90.00 90.00 90.00
Space group Cmmm (No. 65)
Unique sites:
Co (0.0000, 0.0000, 0.0000) x2
Os (0.2500, 0.2500, 0.5000) x4
Pt (0.0000, 0.5000, 0.0000) x2

Fermi-level density of states = 1.086 states/eV per atom
ρ = 19.0 g/cm3
calculated volume = 110.9 Å³ per cell
energy above the most stable polymorph in this dataset = 169 meV/atom
crystal system = orthorhombic